Run P
VASP calculation (GGA-PBE) on a geometry-optimized LaIr2Br structure.

Geometry as POSCAR:
```
LaIr2Br
1.0
3.952 0.000 0.000
0.000 3.952 0.000
0.000 0.000 5.476
La Ir Br
1 2 1
direct
0.000 0.000 0.000
0.000 0.500 0.500
0.500 0.000 0.500
0.500 0.500 0.000
```

Computed properties:
As for the theoretical density: 11.71 g/cm³. The calculation puts the spin magnetization at 1.4 Bohr magnetons per cell.

***

Run Q
VASP calculation (GGA-PBE) on a geometry-optimized LaIr2Br structure.

Geometry as POSCAR:
```
LaIr2Br
1.0
5.343 -1.652 0.000
5.343 1.652 0.000
-0.318 0.000 4.833
La Ir Br
1 2 1
direct
0.000 0.000 0.000
0.275 0.275 0.794
0.725 0.725 0.206
0.500 0.500 0.500
```

Computed properties:
As for the theoretical density: 11.74 g/cm³. The calculation puts the spin magnetization at 0.0 Bohr magnetons per cell.

***

Relative stability in eV/atom, measured from the most stable structure: run P 0.080; run Q 0.000

***

Run P
VASP calculation (GGA-PBE) on a geometry-optimized LaIrSeBr2 structure.

Geometry as POSCAR:
```
LaIrSeBr2
1.0
5.027 0.000 0.000
0.000 5.027 0.000
0.000 0.000 5.052
La Ir Se Br
1 1 1 2
direct
0.000 0.000 0.000
0.500 0.500 0.500
0.500 0.500 0.000
0.000 0.500 0.500
0.500 0.000 0.500
```

Computed properties:
As for the theoretical density: 7.41 g/cm³. The calculation puts the spin magnetization at 0.0 Bohr magnetons per cell.

***

Run Q
VASP calculation (GGA-PBE) on a geometry-optimized LaIrSeBr2 structure.

Geometry as POSCAR:
```
LaIrSeBr2
1.0
5.743 0.000 0.000
0.000 5.743 0.000
0.000 0.000 5.911
La Ir Se Br
1 1 1 2
direct
0.000 0.000 0.000
0.500 0.500 0.500
0.000 0.000 0.500
0.000 0.500 0.000
0.500 0.000 0.000
```

Computed properties:
As for the theoretical density: 4.85 g/cm³. The calculation puts the spin magnetization at 2.9 Bohr magnetons per cell.

***

Relative stability in eV/atom, measured from the most stable structure: run P 0.000; run Q 0.677

***

Run P
VASP calculation (GGA-PBE) on a geometry-optimized Li2IrBr structure.

Geometry as POSCAR:
```
Li2IrBr
1.0
0.000 3.135 3.135
3.135 0.000 3.135
3.135 3.135 0.000
Li Ir Br
2 1 1
direct
0.250 0.250 0.250
0.750 0.750 0.750
0.000 0.000 0.000
0.500 0.500 0.500
```

Computed properties:
As for the theoretical density: 7.70 g/cm³. The calculation puts the spin magnetization at 0.0 Bohr magnetons per cell.

***

Run Q
VASP calculation (GGA-PBE) on a geometry-optimized Li2IrBr structure.

Geometry as POSCAR:
```
Li2IrBr
1.0
-3.525 3.525 2.645
3.525 -3.525 2.645
3.525 3.525 -2.645
Li Ir Br
4 2 2
direct
0.112 0.625 0.987
0.375 0.362 0.487
0.638 0.125 0.013
0.875 0.888 0.513
0.250 0.750 0.500
0.500 0.500 0.000
0.000 0.000 0.000
0.750 0.250 0.500
```

Computed properties:
As for the theoretical density: 7.22 g/cm³. The calculation puts the spin magnetization at 0.0 Bohr magnetons per cell.

***

Run R
VASP calculation (GGA-PBE) on a geometry-optimized Li2IrBr structure.

Geometry as POSCAR:
```
Li2IrBr
1.0
-1.818 1.818 4.670
1.818 -1.818 4.670
1.818 1.818 -4.670
Li Ir Br
2 1 1
direct
0.000 0.000 0.000
0.750 0.250 0.500
0.500 0.500 0.000
0.250 0.750 0.500
```

Computed properties:
As for the theoretical density: 7.69 g/cm³. The calculation puts the spin magnetization at 0.1 Bohr magnetons per cell.

***

Relative stability in eV/atom, measured from the most stable structure: run P 0.125; run Q 0.000; run R 0.006